# 1
First-principles (PBE-GGA) data for an optimized crystal structure of Rb3PSe4, as listed in Alexandria.

It has space group Imm2 (No. 44), with a = 7.205 Å, b = 10.370 Å, c = 7.878 Å, α = 90.00°, β = 90.00° and γ = 90.00°. The distinct sites, in fractional coordinates, are Rb at (0.000, 0.000, 0.000), Rb at (0.000, 0.252, 0.396), P at (0.000, 0.500, 0.982), Se at (0.000, 0.322, 0.821) and Se at (0.245, 0.000, 0.638).

The calculation puts the uncorrected formation energy at -0.800 eV/atom. For the volume, the calculation gives 294.3 Å³/f.u. As for the size of the total moment: 0.00 μB per atom. The value obtained for the total energy is -57.302 eV for the cell shown.

---

# 2
First-principles (PBE-GGA) data for an optimized crystal structure of HfZr3B, as listed in Alexandria.

It has space group Pm-3m (No. 221), with a = 5.091 Å, b = 5.091 Å, c = 5.091 Å, α = 90.00°, β = 90.00° and γ = 90.00°. The distinct sites, in fractional coordinates, are Hf at (0.000, 0.000, 0.000), Zr at (0.000, 0.000, 0.500) and B at (0.500, 0.500, 0.500).

For the volume, the calculation gives 132.0 Å³/f.u. As for the size of the total moment: 0.00 μB per atom. The value obtained for the total energy is -32.471 eV for the cell shown. The calculation puts the formation energy at 1961 meV/atom.

---

Number 1 is which compound?
Rb3PSe4

---

What is the formula in the second record?
HfZr3B